Here is SiAgTeN2 after structural relaxation from Alexandria via LeMat-Bulk. Energies are from PBE.

final energy: -3.729 eV per atom
E_form (uncorrected): 1.884 eV per atom
ΔE to the lowest computed polymorph: 25.461 kcal/mol of atoms
density of states at the Fermi level: 2.3 states/eV per cell

a = 4.1189 Å, b = 4.1189 Å, c = 6.0721 Å
α = 90.00°, β = 90.00°, γ = 90.00°
Fractional positions:
1 Si 0.0000 0.0000 0.0000
2 Ag 0.5000 0.5000 0.5000
3 Te 0.5000 0.5000 0.0000
4 N 0.0000 0.5000 0.5000
5 N 0.5000 0.0000 0.5000